DFT (PBE) results for a relaxed MgBe2Br crystal. Values from VASP.

Summary:
Energy above the most stable polymorph in this dataset (meV per atom): 0
Space-group type: Cm
ΔE_f (raw) (eV per atom): 0.12
V (Å³/cell): 74.11
Crystal system: monoclinic

Structure (Quantum ESPRESSO input):
```
&SYSTEM
  ibrav = 0, nat = 4, ntyp = 3
/
ATOMIC_SPECIES
Br 79.90 Br.upf
Mg 24.30 Mg.upf
Be 9.01 Be.upf
CELL_PARAMETERS angstrom
-3.801 -0.287 -0.916
-1.081 -1.613 -3.406
-1.823 -5.632 1.008
ATOMIC_POSITIONS crystal
Br 0.752 0.752 0.496
Mg 0.198 0.198 0.156
Be 0.936 0.936 0.939
Be 0.614 0.614 0.909
```